Here is a relaxed structure of HfAgS2 from Alexandria via LeMat-Bulk. Energies are from GGA-PBE.

Output
Space-group type = R-3m
Raw formation energy = -1.000 eV/atom
Energy = -25.06 eV/f.u.

a b c (Å): 3.542 3.542 23.851
angles (deg): 90.00 90.00 120.00
Fractional coordinates of all 12 atoms:
Hf 0.000 0.000 0.000
Hf 0.333 0.667 0.667
Hf 0.667 0.333 0.333
Ag 0.000 0.000 0.500
Ag 0.333 0.667 0.167
Ag 0.667 0.333 0.833
S 0.000 0.000 0.397
S 0.000 0.000 0.603
S 0.333 0.667 0.064
S 0.333 0.667 0.269
S 0.667 0.333 0.731
S 0.667 0.333 0.936